No. 1
# In2Sn2Bi

In2Sn2Bi after structural relaxation (PBE, the Alexandria database).

Cell lengths 9.023, 9.023, 3.548 Å; angles 90.00, 90.00, 90.00 degrees
Sites, in units of the cell vectors:
In (0.137, 0.637, 0.500)
In (0.863, 0.363, 0.500)
In (0.363, 0.137, 0.500)
In (0.637, 0.863, 0.500)
Sn (0.662, 0.162, 0.000)
Sn (0.162, 0.338, 0.000)
Sn (0.338, 0.838, 0.000)
Sn (0.838, 0.662, 0.000)
Bi (0.500, 0.500, 0.000)
Bi (0.000, 0.000, 0.000)

**ΔH_f (0 K)**: 0.07 eV per atom
**Symmetry**: No. 127

***

No. 2
# In12Sn6Bi

In12Sn6Bi after structural relaxation (PBE, the Alexandria database).

Cell lengths 8.238, 8.238, 8.238 Å; angles 85.58, 85.58, 85.58 degrees
Sites, in units of the cell vectors:
In (0.536, 0.425, 0.794)
In (0.104, 0.408, 0.152)
In (0.794, 0.536, 0.425)
In (0.425, 0.794, 0.536)
In (0.152, 0.104, 0.408)
In (0.408, 0.152, 0.104)
In (0.592, 0.848, 0.896)
In (0.848, 0.896, 0.592)
In (0.464, 0.575, 0.206)
In (0.896, 0.592, 0.848)
In (0.206, 0.464, 0.575)
In (0.575, 0.206, 0.464)
Sn (0.897, 0.246, 0.688)
Sn (0.103, 0.754, 0.312)
Sn (0.754, 0.312, 0.103)
Sn (0.688, 0.897, 0.246)
Sn (0.312, 0.103, 0.754)
Sn (0.246, 0.688, 0.897)
Bi (0.000, 0.000, 0.000)

**ΔH_f (0 K)**: 0.08 eV per atom
**Symmetry**: No. 148

***

Number 1: total magnetization 0.0 μB/f.u., total energy -3.40 eV/atom, E above lowest polymorph 0.69 kcal/mol of atoms. Number 2: total magnetization 0.0 μB/f.u., total energy -3.12 eV/atom, E above lowest polymorph 0.24 kcal/mol of atoms.